Entry 1:
The following is a DFT calculation (PBE-GGA) of ZrMn5Os after structural relaxation.

a b c (Å): 7.9293 4.7424 9.8840
angles (deg): 90.00 90.00 90.00
With the nearest neighbours (Å) after each atom.
Space group Pnma (No. 62)
One atom of each set of equivalent atoms:
Zr1 0.2466 0.2500 0.0616  9 Mn 2.74-3.06, 1 Os 3.01
Mn1 0.0527 0.7500 0.0897  1 Os 2.45, 4 Mn 2.47-2.61
Mn2 0.0740 0.0100 0.3097  7 Mn 2.28-2.52
Mn3 0.0860 0.2500 0.5265  5 Mn 2.40-2.43
Mn4 0.1905 0.2500 0.7549  6 Mn 2.30-2.52
Os1 0.1373 0.7500 0.8511  7 Mn 2.45-2.59

Summary:
Formation energy from the elements   -142.9 meV/atom
Uncorrected energy   -9.52 eV/atom
Total magnetic moment   3.15 μB/f.u.

---

Entry 2:
The following is a DFT calculation (PBE-GGA) of ZrMnOs4 after structural relaxation.

a b c (Å): 7.3414 7.3414 7.3414
angles (deg): 90.00 90.00 90.00
With the nearest neighbours (Å) after each atom.
Space group F-43m (No. 216)
One atom of each set of equivalent atoms:
Zr1 0.0000 0.0000 0.0000  12 Os 3.04, 4 Mn 3.18
Mn1 0.2500 0.2500 0.7500  12 Os 3.04, 4 Zr 3.18
Os1 0.1246 0.1246 0.3754  6 Os 2.59-2.60

Summary:
Formation energy from the elements   75.3 meV/atom
Uncorrected energy   -10.36 eV/atom
Total magnetic moment   3.79 μB/f.u.

---

Entry 3:
The following is a DFT calculation (PBE-GGA) of ZrMnOs2 after structural relaxation.

a b c (Å): 9.0034 2.9440 4.9374
angles (deg): 90.00 104.64 90.00
With the nearest neighbours (Å) after each atom.
Space group C2/m (No. 12)
One atom of each set of equivalent atoms:
Zr1 0.0000 0.0000 0.0000  6 Os 2.83-2.85, 4 Mn 2.87, 2 Zr 2.94
Mn1 0.0000 0.5000 0.5000  6 Os 2.58-2.84, 4 Zr 2.87
Os1 0.2356 0.0000 0.7132  3 Mn 2.58-2.84, 2 Os 2.63, 3 Zr 2.83-2.85

Summary:
Formation energy from the elements   55.6 meV/atom
Uncorrected energy   -9.99 eV/atom
Total magnetic moment   2.77 μB/f.u.

---

Entry 4:
The following is a DFT calculation (PBE-GGA) of Zr3MnOs2 after structural relaxation.

a b c (Å): 3.2583 3.2583 9.7855
angles (deg): 90.00 90.00 90.00
With the nearest neighbours (Å) after each atom.
Space group P4/mmm (No. 123)
One atom of each set of equivalent atoms:
Zr1 0.0000 0.0000 0.0000  8 Os 2.83
Zr2 0.0000 0.0000 0.3392  4 Mn 2.79, 4 Os 2.85
Mn1 0.5000 0.5000 0.5000  8 Zr 2.79
Os1 0.5000 0.5000 0.1685  8 Zr 2.83-2.85

Summary:
Formation energy from the elements   -368.5 meV/atom
Uncorrected energy   -9.91 eV/atom
Total magnetic moment   0.33 μB/f.u.

---

Entry 5:
The following is a DFT calculation (PBE-GGA) of Zr2MnOs after structural relaxation.

a b c (Å): 2.9230 2.9230 29.1422
angles (deg): 90.00 90.00 120.00
With the nearest neighbours (Å) after each atom.
Space group R3m (No. 160, hexagonal axes)
One atom of each set of equivalent atoms:
Zr1 0.0000 0.0000 0.0000  6 Zr 2.92, 3 Os 3.00
Zr2 0.0000 0.0000 0.2339  6 Zr 2.92, 3 Mn 2.94
Mn1 0.0000 0.0000 0.4847  3 Os 2.57
Os1 0.0000 0.0000 0.7516  3 Mn 2.57

Summary:
Formation energy from the elements   263.6 meV/atom
Uncorrected energy   -9.11 eV/atom
Total magnetic moment   3.04 μB/f.u.

---

Entry 6:
The following is a DFT calculation (PBE-GGA) of ZrMnOs2 after structural relaxation.

a b c (Å): 3.2551 4.5522 8.4253
angles (deg): 90.00 90.00 90.00
With the nearest neighbours (Å) after each atom.
Space group Cmmm (No. 65)
One atom of each set of equivalent atoms:
Zr1 0.0000 0.0000 0.0000  4 Os 2.79, 4 Zr 2.80
Mn1 0.0000 0.0000 0.5000  4 Os 2.53, 4 Mn 2.80
Os1 0.0000 0.5000 0.2696  2 Mn 2.53, 2 Zr 2.79, 4 Os 2.80

Summary:
Formation energy from the elements   175.9 meV/atom
Uncorrected energy   -9.87 eV/atom
Total magnetic moment   2.64 μB/f.u.

---

Entry 7:
The following is a DFT calculation (PBE-GGA) of ZrMn2Os2 after structural relaxation.

a b c (Å): 7.3355 7.3355 2.6846
angles (deg): 90.00 90.00 90.00
With the nearest neighbours (Å) after each atom.
Space group P4/mbm (No. 127)
One atom of each set of equivalent atoms:
Zr1 0.0000 0.0000 0.0000  2 Zr 2.68, 4 Mn 2.94
Mn1 0.1175 0.3825 0.0000  3 Mn 2.44-2.68, 6 Os 2.55-2.56
Os1 0.1723 0.6723 0.5000  6 Mn 2.55-2.56, 2 Os 2.68

Summary:
Formation energy from the elements   -20.4 meV/atom
Energy above the lowest structure with this stoichiometry   0 meV/atom
Uncorrected energy   -9.89 eV/atom
Total magnetic moment   0.00 μB/f.u.

---

Entry 8:
The following is a DFT calculation (PBE-GGA) of ZrMnOs2 after structural relaxation.

a b c (Å): 2.8447 3.9104 5.6985
angles (deg): 90.00 90.00 90.00
With the nearest neighbours (Å) after each atom.
Space group Pmm2 (No. 25)
One atom of each set of equivalent atoms:
Zr1 0.0000 0.0000 0.0000  6 Os 2.82-2.91, 2 Zr 2.84, 4 Mn 2.87
Mn1 0.5000 0.5000 0.2713  5 Os 2.53-2.76
Os1 0.0000 0.0000 0.5045  6 Os 2.70-2.84, 4 Mn 2.76, 2 Zr 2.82-2.88
Os2 0.5000 0.5000 0.7148  1 Mn 2.53, 4 Os 2.70

Summary:
Formation energy from the elements   72.5 meV/atom
Uncorrected energy   -9.97 eV/atom
Total magnetic moment   2.83 μB/f.u.